# 1
The following is a DFT calculation (PBE) of crystalline Re3Te at its relaxed geometry.

Cell lengths 3.0672, 3.0672, 6.9904 Å; angles 90.00, 90.00, 90.00 degrees
Fractional positions:
Re  0.0000  0.0000  0.0137
Re  0.5000  0.5000  0.2500
Re  0.0000  0.0000  0.4863
Te  0.5000  0.5000  0.7500

The calculation puts the offset from the most stable computed form at 0.0 meV/atom. The space-group type is P4/mmm. The value obtained for the density of states at the Fermi level is 2.37 states/eV per cell. The density comes out at 17.33 g cm⁻³.



# 2
The following is a DFT calculation (PBE) of crystalline LaGa2PtAu at its relaxed geometry.

Cell lengths 4.2914, 4.1076, 6.6140 Å; angles 108.09, 108.93, 90.00 degrees
Fractional positions:
La  0.4331  0.4331  0.8662
Ga  0.6981  0.1981  0.3962
Ga  0.0533  0.0533  0.1067
Pt  0.8437  0.8437  0.6873
Au  0.1839  0.6839  0.3679

The calculation puts the offset from the most stable computed form at 0.0 meV/atom. The space-group type is Imm2. Its formation enthalpy at 0 K is -0.7551 eV/atom. The value obtained for the density of states at the Fermi level is 2.17 states/eV per cell. The density comes out at 10.69 g cm⁻³.



# 3
The following is a DFT calculation (PBE) of crystalline LiB4C4 at its relaxed geometry.

Cell lengths 2.6826, 4.4722, 6.7461 Å; angles 80.26, 90.00, 90.00 degrees
Fractional positions:
C  0.5000  0.0602  0.8824
C  0.0000  0.3999  0.2494
C  0.0000  0.6001  0.7506
C  0.5000  0.9398  0.1176
B  0.5000  0.2422  0.2175
B  0.0000  0.2609  0.8268
B  0.0000  0.7391  0.1732
B  0.5000  0.7578  0.7825
Li  0.5000  0.5000  0.5000

The calculation puts the offset from the most stable computed form at 31.9 meV/atom. The space-group type is P2/m. Its formation enthalpy at 0 K is 0.1210 eV/atom. The value obtained for the density of states at the Fermi level is 1.72 states/eV per cell. The density comes out at 2.04 g cm⁻³.